--- w ---
First-principles (PBE) data for AlFeCuTe4 after structural relaxation, as listed in OQMD via LeMat-Bulk.

The space group is P4_122 (No. 91) and the conventional cell measures 7.8686, 7.8686 and 10.9364 Å, with angles of 90.00, 90.00 and 90.00 degrees. The asymmetric unit holds Al at (0.0000, 0.2334, 0.0000), Fe at (0.2425, 0.5000, 0.7500), Cu at (0.2688, 0.2688, 0.3750), Te at (0.0126, 0.2681, 0.7446) and Te at (0.2669, 0.4725, 0.9833).

The density is 6.443 g/cm³.



--- x ---
First-principles (PBE) data for AlFeCuTe4 after structural relaxation, as listed in OQMD via LeMat-Bulk.

The space group is P4_122 (No. 91) and the conventional cell measures 7.8950, 7.8950 and 11.0580 Å, with angles of 90.00, 90.00 and 90.00 degrees. The asymmetric unit holds Al at (0.2358, 0.2358, 0.3750), Fe at (0.0000, 0.2593, 0.0000), Cu at (0.2578, 0.5000, 0.7500), Te at (0.0358, 0.2382, 0.7680) and Te at (0.2383, 0.4800, 0.9959).

The density is 6.329 g/cm³.



Sorted by energy, starting with the most stable: w, x.



--- w ---
First-principles (PBE) data for AlCdW after structural relaxation, as listed in OQMD via LeMat-Bulk.

The space group is F-43m (No. 216) and the conventional cell measures 6.3401, 6.3401 and 6.3401 Å, with angles of 90.00, 90.00 and 90.00 degrees. The asymmetric unit holds Al at (0.0000, 0.0000, 0.0000), Cd at (0.0000, 0.0000, 0.5000) and W at (0.2500, 0.2500, 0.2500).

The density is 8.424 g/cm³.



--- x ---
First-principles (PBE) data for AlCdW after structural relaxation, as listed in OQMD via LeMat-Bulk.

The space group is F-43m (No. 216) and the conventional cell measures 6.1650, 6.1650 and 6.1650 Å, with angles of 90.00, 90.00 and 90.00 degrees. The asymmetric unit holds Al at (0.0000, 0.0000, 0.0000), Cd at (0.2500, 0.2500, 0.7500) and W at (0.2500, 0.2500, 0.2500).

The density is 9.163 g/cm³.



Sorted by energy, starting with the most stable: x, w.



--- w ---
First-principles (PBE) data for Cu5Ag4 after structural relaxation, as listed in OQMD via LeMat-Bulk.

The space group is C2/m (No. 12) and the conventional cell measures 14.0577, 2.7981 and 8.1982 Å, with angles of 90.00, 125.20 and 90.00 degrees. The asymmetric unit holds Cu at (0.0000, 0.0000, 0.0000), Cu at (0.1717, 0.5000, 0.6603), Cu at (0.1750, 0.5000, 0.3446), Ag at (0.0061, 0.0000, 0.3371) and Ag at (0.1670, 0.5000, 0.0126).

The density is 9.442 g/cm³.



--- x ---
First-principles (PBE) data for Cu5Ag4 after structural relaxation, as listed in OQMD via LeMat-Bulk.

The space group is C2/m (No. 12) and the conventional cell measures 9.4517, 2.8441 and 10.5226 Å, with angles of 90.00, 112.09 and 90.00 degrees. The asymmetric unit holds Cu at (0.0000, 0.0000, 0.0000), Cu at (0.1600, 0.5000, 0.9115), Cu at (0.1860, 0.5000, 0.1885), Ag at (0.0150, 0.0000, 0.3039) and Ag at (0.1637, 0.5000, 0.5691).

The density is 9.493 g/cm³.



Sorted by energy, starting with the most stable: x, w.



--- w ---
First-principles (PBE) data for ZnSnSO after structural relaxation, as listed in OQMD via LeMat-Bulk.

The space group is P6_3mc (No. 186) and the conventional cell measures 3.4644, 3.4644 and 12.8822 Å, with angles of 90.00, 90.00 and 120.00 degrees. The asymmetric unit holds Zn at (0.3333, 0.6667, 0.0000), Sn at (0.0000, 0.0000, 0.2260), S at (0.3333, 0.6667, 0.3639) and O at (0.0000, 0.0000, 0.0507).

The density is 5.759 g/cm³.



--- x ---
First-principles (PBE) data for ZnSnSO after structural relaxation, as listed in OQMD via LeMat-Bulk.

The space group is Pca2_1 (No. 29) and the conventional cell measures 5.8989, 9.2356 and 5.6606 Å, with angles of 90.00, 90.00 and 90.00 degrees. The asymmetric unit holds Zn at (0.0951, 0.0724, 0.0000), Sn at (0.0010, 0.6781, 0.0910), S at (0.0497, 0.7032, 0.6121) and O at (0.0871, 0.0860, 0.6378).

The density is 5.001 g/cm³.



--- y ---
First-principles (PBE) data for ZnSnSO after structural relaxation, as listed in OQMD via LeMat-Bulk.

The space group is Pbca (No. 61) and the conventional cell measures 6.4326, 6.4980 and 13.5494 Å, with angles of 90.00, 90.00 and 90.00 degrees. The asymmetric unit holds Zn at (0.1415, 0.0855, 0.2217), Sn at (0.0904, 0.2494, 0.9171), S at (0.2437, 0.0034, 0.0575) and O at (0.1150, 0.7353, 0.7636).

The density is 5.446 g/cm³.



Sorted by energy, starting with the most stable: x, y, w.